Record 1
# Sc2ReTcCl GGA-PBE optimized geometry
data_Sc2ReTcCl
_cell_length_a 4.6516
_cell_length_b 4.6516
_cell_length_c 4.3312
_cell_angle_alpha 90.00
_cell_angle_beta 90.00
_cell_angle_gamma 90.00
_symmetry_space_group_name_H-M 'P 4/m m m'
_symmetry_Int_Tables_number 123
_symmetry_space_group_name_Hall '-P 4 2'
loop_
_atom_site_label
_atom_site_type_symbol
_atom_site_fract_x
_atom_site_fract_y
_atom_site_fract_z
Sc1 Sc 0.0000 0.5000 0.0000
Re1 Re 0.0000 0.0000 0.5000
Tc1 Tc 0.5000 0.5000 0.5000
Cl1 Cl 0.0000 0.0000 0.0000
# Energy relative to the elements, uncorrected ... 575 meV/atom
# Volume ... 18.74 Å³/atom
# M_tot ... 1.5 μB/cell
# DOS at the Fermi energy ... 4.14 states/eV/f.u.

Record 2
# ScV2ReCl GGA-PBE optimized geometry
data_ScV2ReCl
_cell_length_a 4.5736
_cell_length_b 4.5736
_cell_length_c 4.4683
_cell_angle_alpha 90.00
_cell_angle_beta 90.00
_cell_angle_gamma 90.00
_symmetry_space_group_name_H-M 'P 4/m m m'
_symmetry_Int_Tables_number 123
_symmetry_space_group_name_Hall '-P 4 2'
loop_
_atom_site_label
_atom_site_type_symbol
_atom_site_fract_x
_atom_site_fract_y
_atom_site_fract_z
Sc1 Sc 0.0000 0.0000 0.0000
V1 V 0.0000 0.5000 0.0000
Re1 Re 0.5000 0.5000 0.5000
Cl1 Cl 0.0000 0.0000 0.5000
# Energy relative to the elements, uncorrected ... 1919 meV/atom
# Volume ... 18.69 Å³/atom
# M_tot ... 2.7 μB/cell
# DOS at the Fermi energy ... 8.67 states/eV/f.u.

Record 3
# ScReWCl2 GGA-PBE optimized geometry
data_ScReWCl2
_cell_length_a 4.6028
_cell_length_b 4.6028
_cell_length_c 5.1213
_cell_angle_alpha 90.00
_cell_angle_beta 90.00
_cell_angle_gamma 90.00
_symmetry_space_group_name_H-M 'P 4/m m m'
_symmetry_Int_Tables_number 123
_symmetry_space_group_name_Hall '-P 4 2'
loop_
_atom_site_label
_atom_site_type_symbol
_atom_site_fract_x
_atom_site_fract_y
_atom_site_fract_z
Sc1 Sc 0.0000 0.0000 0.0000
Re1 Re 0.5000 0.5000 0.0000
W1 W 0.5000 0.5000 0.5000
Cl1 Cl 0.0000 0.5000 0.5000
# Energy relative to the elements, uncorrected ... 870 meV/atom
# Volume ... 21.70 Å³/atom
# M_tot ... 0.0 μB/cell
# DOS at the Fermi energy ... 6.10 states/eV/f.u.

Record 4
# ReSe2Cl GGA-PBE optimized geometry
data_ReSe2Cl
_cell_length_a 6.5247
_cell_length_b 6.5247
_cell_length_c 6.5247
_cell_angle_alpha 90.00
_cell_angle_beta 90.00
_cell_angle_gamma 90.00
_symmetry_space_group_name_H-M 'F m -3 m'
_symmetry_Int_Tables_number 225
_symmetry_space_group_name_Hall '-F 4 2 3'
loop_
_atom_site_label
_atom_site_type_symbol
_atom_site_fract_x
_atom_site_fract_y
_atom_site_fract_z
Re1 Re 0.0000 0.0000 0.0000
Se1 Se 0.2500 0.2500 0.2500
Cl1 Cl 0.0000 0.0000 0.5000
# E above lowest polymorph ... 0.849 eV per atom
# Energy relative to the elements, uncorrected ... 733 meV/atom
# Volume ... 17.36 Å³/atom
# M_tot ... 5.9 μB/cell
# DOS at the Fermi energy ... 1.92 states/eV/f.u.

Record 5
# ReSe2Cl GGA-PBE optimized geometry
data_ReSe2Cl
_cell_length_a 6.6811
_cell_length_b 6.6811
_cell_length_c 9.8315
_cell_angle_alpha 90.00
_cell_angle_beta 90.00
_cell_angle_gamma 90.00
_symmetry_space_group_name_H-M 'I -4 2 d'
_symmetry_Int_Tables_number 122
_symmetry_space_group_name_Hall 'I -4 2bw'
loop_
_atom_site_label
_atom_site_type_symbol
_atom_site_fract_x
_atom_site_fract_y
_atom_site_fract_z
Re1 Re 0.0000 0.0000 0.0000
Se1 Se 0.1659 0.2500 0.1250
Cl1 Cl 0.0000 0.0000 0.5000
# E above lowest polymorph ... 0.296 eV per atom
# Energy relative to the elements, uncorrected ... 181 meV/atom
# Volume ... 27.43 Å³/atom
# M_tot ... 0.0 μB/cell
# DOS at the Fermi energy ... 2.65 states/eV/f.u.

Record 6
# ReSe2Cl GGA-PBE optimized geometry
data_ReSe2Cl
_cell_length_a 3.3920
_cell_length_b 3.3920
_cell_length_c 7.4688
_cell_angle_alpha 90.00
_cell_angle_beta 90.00
_cell_angle_gamma 90.00
_symmetry_space_group_name_H-M 'P 4 m m'
_symmetry_Int_Tables_number 99
_symmetry_space_group_name_Hall 'P 4 -2'
loop_
_atom_site_label
_atom_site_type_symbol
_atom_site_fract_x
_atom_site_fract_y
_atom_site_fract_z
Re1 Re 0.0000 0.0000 0.0000
Se1 Se 0.0000 0.0000 0.3368
Se2 Se 0.5000 0.5000 0.1337
Cl1 Cl 0.5000 0.5000 0.7394
# E above lowest polymorph ... 0.656 eV per atom
# Energy relative to the elements, uncorrected ... 541 meV/atom
# Volume ... 21.48 Å³/atom
# M_tot ... 0.0 μB/cell
# DOS at the Fermi energy ... 3.01 states/eV/f.u.

Record 7
# ReSe4Cl GGA-PBE optimized geometry
data_ReSe4Cl
_cell_length_a 6.3329
_cell_length_b 7.4339
_cell_length_c 8.1458
_cell_angle_alpha 100.03
_cell_angle_beta 112.73
_cell_angle_gamma 106.20
_symmetry_space_group_name_H-M 'P -1'
_symmetry_Int_Tables_number 2
_symmetry_space_group_name_Hall '-P 1'
loop_
_atom_site_label
_atom_site_type_symbol
_atom_site_fract_x
_atom_site_fract_y
_atom_site_fract_z
Re1 Re 0.2252 0.9995 0.9996
Se1 Se 0.1477 0.3191 0.0844
Se2 Se 0.1820 0.1099 0.2925
Se3 Se 0.3251 0.6891 0.8541
Se4 Se 0.4536 0.1324 0.8201
Cl1 Cl 0.1637 0.8227 0.4418
# E above lowest polymorph ... 0.000 eV per atom
# Energy relative to the elements, uncorrected ... -151 meV/atom
# Volume ... 26.83 Å³/atom
# M_tot ... 0.0 μB/cell
# DOS at the Fermi energy ... 1.82 states/eV/f.u.

Record 8
# ReSe2Cl GGA-PBE optimized geometry
data_ReSe2Cl
_cell_length_a 2.9910
_cell_length_b 4.9052
_cell_length_c 11.6744
_cell_angle_alpha 90.00
_cell_angle_beta 90.00
_cell_angle_gamma 90.00
_symmetry_space_group_name_H-M 'I m m m'
_symmetry_Int_Tables_number 71
_symmetry_space_group_name_Hall '-I 2 2'
loop_
_atom_site_label
_atom_site_type_symbol
_atom_site_fract_x
_atom_site_fract_y
_atom_site_fract_z
Re1 Re 0.0000 0.0000 0.0000
Se1 Se 0.0000 0.5000 0.3281
Cl1 Cl 0.0000 0.0000 0.5000
# E above lowest polymorph ... 0.448 eV per atom
# Energy relative to the elements, uncorrected ... 333 meV/atom
# Volume ... 21.41 Å³/atom
# M_tot ... 0.0 μB/cell
# DOS at the Fermi energy ... 4.15 states/eV/f.u.

Record 9
# ReSe2Cl GGA-PBE optimized geometry
data_ReSe2Cl
_cell_length_a 3.0307
_cell_length_b 3.0307
_cell_length_c 8.5725
_cell_angle_alpha 90.00
_cell_angle_beta 90.00
_cell_angle_gamma 90.00
_symmetry_space_group_name_H-M 'P 4/m m m'
_symmetry_Int_Tables_number 123
_symmetry_space_group_name_Hall '-P 4 2'
loop_
_atom_site_label
_atom_site_type_symbol
_atom_site_fract_x
_atom_site_fract_y
_atom_site_fract_z
Re1 Re 0.0000 0.0000 0.0000
Se1 Se 0.5000 0.5000 0.1850
Cl1 Cl 0.0000 0.0000 0.5000
# E above lowest polymorph ... 0.211 eV per atom
# Energy relative to the elements, uncorrected ... 96 meV/atom
# Volume ... 19.68 Å³/atom
# M_tot ... 0.1 μB/cell
# DOS at the Fermi energy ... 3.21 states/eV/f.u.

Record 10
# ReSeCl3 GGA-PBE optimized geometry
data_ReSeCl3
_cell_length_a 4.7538
_cell_length_b 4.7538
_cell_length_c 4.7538
_cell_angle_alpha 90.00
_cell_angle_beta 90.00
_cell_angle_gamma 90.00
_symmetry_space_group_name_H-M 'P m -3 m'
_symmetry_Int_Tables_number 221
_symmetry_space_group_name_Hall '-P 4 2 3'
loop_
_atom_site_label
_atom_site_type_symbol
_atom_site_fract_x
_atom_site_fract_y
_atom_site_fract_z
Re1 Re 0.0000 0.0000 0.0000
Se1 Se 0.5000 0.5000 0.5000
Cl1 Cl 0.0000 0.0000 0.5000
# E above lowest polymorph ... 0.815 eV per atom
# Energy relative to the elements, uncorrected ... 513 meV/atom
# Volume ... 21.49 Å³/atom
# M_tot ... 1.0 μB/cell
# DOS at the Fermi energy ... 8.45 states/eV/f.u.

Record 11
# Re4Se8Cl GGA-PBE optimized geometry
data_Re4Se8Cl
_cell_length_a 6.3743
_cell_length_b 6.3776
_cell_length_c 9.4481
_cell_angle_alpha 70.32
_cell_angle_beta 70.30
_cell_angle_gamma 60.03
_symmetry_space_group_name_H-M 'P -1'
_symmetry_Int_Tables_number 2
_symmetry_space_group_name_Hall '-P 1'
loop_
_atom_site_label
_atom_site_type_symbol
_atom_site_fract_x
_atom_site_fract_y
_atom_site_fract_z
Re1 Re 0.0000 0.0000 0.0000
Re2 Re 0.0000 0.5000 0.0000
Re3 Re 0.5000 0.0000 0.0000
Re4 Re 0.5000 0.5000 0.0000
Se1 Se 0.2330 0.2330 0.7965
Se2 Se 0.2330 0.7374 0.7965
Se3 Se 0.2626 0.7670 0.2035
Se4 Se 0.2647 0.2647 0.2059
Cl1 Cl 0.5000 0.5000 0.5000
# Energy relative to the elements, uncorrected ... -70 meV/atom
# Volume ... 23.58 Å³/atom
# M_tot ... 0.0 μB/cell
# DOS at the Fermi energy ... 10.57 states/eV/f.u.

Record 12
# ReSe2Cl GGA-PBE optimized geometry
data_ReSe2Cl
_cell_length_a 6.4991
_cell_length_b 6.4991
_cell_length_c 6.4991
_cell_angle_alpha 90.00
_cell_angle_beta 90.00
_cell_angle_gamma 90.00
_symmetry_space_group_name_H-M 'F -4 3 m'
_symmetry_Int_Tables_number 216
_symmetry_space_group_name_Hall 'F -4 2 3'
loop_
_atom_site_label
_atom_site_type_symbol
_atom_site_fract_x
_atom_site_fract_y
_atom_site_fract_z
Re1 Re 0.0000 0.0000 0.0000
Se1 Se 0.0000 0.0000 0.5000
Se2 Se 0.2500 0.2500 0.2500
Cl1 Cl 0.2500 0.2500 0.7500
# E above lowest polymorph ... 1.118 eV per atom
# Energy relative to the elements, uncorrected ... 1002 meV/atom
# Volume ... 17.16 Å³/atom
# M_tot ... 1.4 μB/cell
# DOS at the Fermi energy ... 4.44 states/eV/f.u.

Record 13
# Re3Se7Cl7 GGA-PBE optimized geometry
data_Re3Se7Cl7
_cell_length_a 12.8373
_cell_length_b 14.8293
_cell_length_c 10.6208
_cell_angle_alpha 90.00
_cell_angle_beta 90.00
_cell_angle_gamma 90.00
_symmetry_space_group_name_H-M 'P b c m'
_symmetry_Int_Tables_number 57
_symmetry_space_group_name_Hall '-P 2c 2b'
loop_
_atom_site_label
_atom_site_type_symbol
_atom_site_fract_x
_atom_site_fract_y
_atom_site_fract_z
Re1 Re 0.2122 0.0581 0.1193
Re2 Re 0.2175 0.6048 0.7500
Se1 Se 0.0666 0.9999 0.2500
Se2 Se 0.1871 0.2049 0.2500
Se3 Se 0.1942 0.5975 0.5061
Se4 Se 0.3517 0.1346 0.2500
Se5 Se 0.3560 0.5571 0.5948
Cl1 Cl 0.0660 0.1119 0.5046
Cl2 Cl 0.0806 0.7159 0.7500
Cl3 Cl 0.3023 0.1281 0.5538
Cl4 Cl 0.3193 0.7436 0.7500
Cl5 Cl 0.4870 0.5143 0.2500
# Energy relative to the elements, uncorrected ... -472 meV/atom
# Volume ... 29.73 Å³/atom
# M_tot ... 0.0 μB/cell